Arrangement i

A relaxed structure of Pm2Hg. Source: Alexandria via LeMat-Bulk, functional PBE.

Cell lengths 7.1997, 5.2516, 9.5540 Å; angles 90.00, 90.00, 90.00 degrees
Last column: nearest neighbours and their distance in Å.
Atoms (fractional coordinates):
Pm 0.0137 0.2500 0.1939  3 Hg 3.24-3.30, 1 Pm 3.57
Pm 0.1716 0.2500 0.5764  4 Hg 3.12-3.20
Pm 0.3284 0.7500 0.0764  4 Hg 3.12-3.20
Pm 0.4863 0.7500 0.6939  3 Hg 3.24-3.30, 1 Pm 3.57
Pm 0.5137 0.2500 0.3061  3 Hg 3.24-3.30, 1 Pm 3.57
Pm 0.6716 0.2500 0.9236  4 Hg 3.12-3.20
Pm 0.8284 0.7500 0.4236  4 Hg 3.12-3.20
Pm 0.9863 0.7500 0.8061  3 Hg 3.24-3.30, 1 Pm 3.57
Hg 0.2352 0.2500 0.8992  7 Pm 3.12-3.30
Hg 0.2648 0.7500 0.3992  7 Pm 3.12-3.30
Hg 0.7352 0.2500 0.6008  7 Pm 3.12-3.30
Hg 0.7648 0.7500 0.1008  7 Pm 3.12-3.30

The density of states at the Fermi level comes out at 7.1 states/eV per cell.

***

Arrangement ii

A relaxed structure of Pm2Hg. Source: Alexandria via LeMat-Bulk, functional PBE.

Cell lengths 6.9908, 6.9908, 6.9908 Å; angles 149.01, 149.01, 44.39 degrees
Last column: nearest neighbours and their distance in Å.
Atoms (fractional coordinates):
Pm 0.1533 0.1533 0.0000  4 Hg 3.30, 4 Pm 3.64
Pm 0.8467 0.8467 0.0000  4 Hg 3.30, 4 Pm 3.64
Hg 0.5000 0.5000 0.0000  8 Pm 3.30

The density of states at the Fermi level comes out at 4.1 states/eV per cell.

***

Most stable of them? arrangement i.

***

Arrangement i

A relaxed structure of Pm3Hg2. Source: Alexandria via LeMat-Bulk, functional PBE.

Cell lengths 3.7783, 3.7783, 20.3887 Å; angles 90.00, 90.00, 90.00 degrees
Last column: nearest neighbours and their distance in Å.
Atoms (fractional coordinates):
Pm 0.0000 0.0000 0.0000  8 Hg 3.30
Pm 0.0000 0.0000 0.1879  8 Hg 3.28-3.33
Pm 0.0000 0.0000 0.3776  4 Hg 3.27, 4 Pm 3.66
Pm 0.0000 0.0000 0.6224  4 Hg 3.27, 4 Pm 3.66
Pm 0.0000 0.0000 0.8121  8 Hg 3.28-3.33
Pm 0.5000 0.5000 0.5000  12 Pm 3.66-3.78
Hg 0.5000 0.5000 0.0946  8 Pm 3.28-3.30
Hg 0.5000 0.5000 0.2853  8 Pm 3.27-3.33
Hg 0.5000 0.5000 0.7147  8 Pm 3.27-3.33
Hg 0.5000 0.5000 0.9054  8 Pm 3.28-3.30

The density of states at the Fermi level comes out at 11.8 states/eV per cell.

***

Arrangement ii

A relaxed structure of Pm3Hg2. Source: Alexandria via LeMat-Bulk, functional PBE.

Cell lengths 8.7712, 8.7712, 3.8607 Å; angles 90.00, 90.00, 90.00 degrees
Last column: nearest neighbours and their distance in Å.
Atoms (fractional coordinates):
Pm 0.0000 0.0000 0.0000  4 Hg 3.43, 8 Pm 3.80
Pm 0.1649 0.3351 0.5000  6 Hg 3.17-3.26
Pm 0.3351 0.8351 0.5000  6 Hg 3.17-3.26
Pm 0.5000 0.5000 0.0000  4 Hg 3.43, 8 Pm 3.80
Pm 0.6649 0.1649 0.5000  6 Hg 3.17-3.26
Pm 0.8351 0.6649 0.5000  6 Hg 3.17-3.26
Hg 0.1327 0.6327 0.0000  8 Pm 3.17-3.43, 1 Hg 3.29
Hg 0.3673 0.1327 0.0000  8 Pm 3.17-3.43, 1 Hg 3.29
Hg 0.6327 0.8673 0.0000  8 Pm 3.17-3.43, 1 Hg 3.29
Hg 0.8673 0.3673 0.0000  8 Pm 3.17-3.43, 1 Hg 3.29

The density of states at the Fermi level comes out at 10.4 states/eV per cell.

***

Most stable of them? arrangement i.

***

Arrangement i

A relaxed structure of PmPrHg. Source: Alexandria via LeMat-Bulk, functional PBE.

Cell lengths 7.0321, 7.0321, 7.0321 Å; angles 148.90, 148.90, 44.55 degrees
Last column: nearest neighbours and their distance in Å.
Atoms (fractional coordinates):
Pm 0.0000 0.0000 0.0000  4 Hg 3.28
Pr 0.3053 0.3053 0.0000  4 Hg 3.37, 4 Pm 3.68, 4 Pr 3.77
Hg 0.6471 0.6471 0.0000  4 Pm 3.28, 4 Pr 3.37

The density of states at the Fermi level comes out at 4.1 states/eV per cell.

***

Arrangement ii

A relaxed structure of PmPrHg. Source: Alexandria via LeMat-Bulk, functional PBE.

Cell lengths 5.2388, 5.2388, 3.8523 Å; angles 90.00, 90.00, 120.00 degrees
Last column: nearest neighbours and their distance in Å.
Atoms (fractional coordinates):
Pm 0.0000 0.0000 0.0000  3 Hg 3.17, 3 Pr 3.45
Pr 0.6667 0.3333 0.5692  3 Hg 3.27, 3 Pm 3.45
Hg 0.3333 0.6667 0.2493  3 Pm 3.17, 3 Pr 3.27

The density of states at the Fermi level comes out at 3.8 states/eV per cell.

***

Most stable of them? arrangement i.

***

Arrangement i

A relaxed structure of PmPrHg. Source: Alexandria via LeMat-Bulk, functional PBE.

Cell lengths 7.3327, 5.2514, 9.6172 Å; angles 90.00, 90.00, 90.00 degrees
Last column: nearest neighbours and their distance in Å.
Atoms (fractional coordinates):
Pm 0.1677 0.2500 0.0761  4 Hg 3.14-3.21
Pm 0.3323 0.7500 0.5761  4 Hg 3.14-3.21
Pm 0.6677 0.2500 0.4239  4 Hg 3.14-3.21
Pm 0.8323 0.7500 0.9239  4 Hg 3.14-3.21
Pr 0.0144 0.2500 0.6919  3 Hg 3.28-3.34, 1 Pm 3.62
Pr 0.4856 0.7500 0.1919  3 Hg 3.28-3.34, 1 Pm 3.62
Pr 0.5144 0.2500 0.8081  3 Hg 3.28-3.34, 1 Pm 3.62
Pr 0.9856 0.7500 0.3081  3 Hg 3.28-3.34, 1 Pm 3.62
Hg 0.2404 0.2500 0.3975  4 Pm 3.14-3.21, 3 Pr 3.28-3.34
Hg 0.2596 0.7500 0.8975  4 Pm 3.14-3.21, 3 Pr 3.28-3.34
Hg 0.7404 0.2500 0.1025  4 Pm 3.14-3.21, 3 Pr 3.28-3.34
Hg 0.7596 0.7500 0.6025  4 Pm 3.14-3.21, 3 Pr 3.28-3.34

The density of states at the Fermi level comes out at 8.1 states/eV per cell.

***

Arrangement ii

A relaxed structure of PmPrHg. Source: Alexandria via LeMat-Bulk, functional PBE.

Cell lengths 5.2658, 5.2658, 5.2658 Å; angles 60.00, 60.00, 60.00 degrees
Last column: nearest neighbours and their distance in Å.
Atoms (fractional coordinates):
Pm 0.0000 0.0000 0.0000  4 Hg 3.22
Pr 0.5000 0.5000 0.5000  4 Hg 3.22
Hg 0.7500 0.7500 0.7500  4 Pr 3.22, 4 Pm 3.22

The density of states at the Fermi level comes out at 5.1 states/eV per cell.

***

Most stable of them? arrangement i.

***

Arrangement i

A relaxed structure of PmPr3Hg4. Source: Alexandria via LeMat-Bulk, functional PBE.

Cell lengths 9.3238, 9.3238, 9.3238 Å; angles 155.92, 130.67, 55.62 degrees
Last column: nearest neighbours and their distance in Å.
Atoms (fractional coordinates):
Pm 0.0000 0.0000 0.0000  4 Hg 3.15
Pr 0.2012 0.7012 0.5000  6 Hg 3.20-3.24
Pr 0.5000 0.5000 0.0000  8 Hg 3.30
Pr 0.7988 0.2988 0.5000  6 Hg 3.20-3.24
Hg 0.1671 0.8699 0.2972  1 Pm 3.15, 1 Hg 3.16, 5 Pr 3.20-3.30
Hg 0.4273 0.1301 0.2972  1 Pm 3.15, 1 Hg 3.16, 5 Pr 3.20-3.30
Hg 0.5727 0.8699 0.7028  1 Pm 3.15, 1 Hg 3.16, 5 Pr 3.20-3.30
Hg 0.8329 0.1301 0.7028  1 Pm 3.15, 1 Hg 3.16, 5 Pr 3.20-3.30

The density of states at the Fermi level comes out at 7.5 states/eV per cell.

***

Arrangement ii

A relaxed structure of PmPr3Hg4. Source: Alexandria via LeMat-Bulk, functional PBE.

Cell lengths 3.8515, 3.8515, 15.4258 Å; angles 90.00, 90.00, 90.00 degrees
Last column: nearest neighbours and their distance in Å.
Atoms (fractional coordinates):
Pm 0.0000 0.0000 0.0000  8 Hg 3.30
Pr 0.0000 0.0000 0.2480  8 Hg 3.35-3.36
Pr 0.0000 0.0000 0.5000  8 Hg 3.34
Pr 0.0000 0.0000 0.7520  8 Hg 3.35-3.36
Hg 0.5000 0.5000 0.1203  4 Pm 3.30, 4 Pr 3.36
Hg 0.5000 0.5000 0.3744  8 Pr 3.34-3.35
Hg 0.5000 0.5000 0.6256  8 Pr 3.34-3.35
Hg 0.5000 0.5000 0.8797  4 Pm 3.30, 4 Pr 3.36

The density of states at the Fermi level comes out at 8.8 states/eV per cell.

***

Most stable of them? arrangement ii.

***

Arrangement i

A relaxed structure of Pm2PrHg. Source: Alexandria via LeMat-Bulk, functional PBE.

Cell lengths 11.0736, 11.0736, 11.0736 Å; angles 19.44, 19.44, 19.44 degrees
Last column: nearest neighbours and their distance in Å.
Atoms (fractional coordinates):
Pm 0.0000 0.0000 0.0000  3 Hg 3.25
Pm 0.1844 0.1844 0.1844  3 Hg 3.25
Pr 0.4254 0.4254 0.4254  6 Pm 3.70, 6 Pr 3.74
Hg 0.5922 0.5922 0.5922  6 Pm 3.25

The density of states at the Fermi level comes out at 4.4 states/eV per cell.

***

Arrangement ii

A relaxed structure of Pm2PrHg. Source: Alexandria via LeMat-Bulk, functional PBE.

Cell lengths 3.7423, 3.7423, 9.0053 Å; angles 90.00, 90.00, 90.00 degrees
Last column: nearest neighbours and their distance in Å.
Atoms (fractional coordinates):
Pm 0.0000 0.0000 0.2181  4 Hg 3.30, 4 Pr 3.67
Pm 0.0000 0.0000 0.7819  4 Hg 3.30, 4 Pr 3.67
Pr 0.5000 0.5000 0.5000  8 Pm 3.67, 4 Pr 3.74
Hg 0.5000 0.5000 0.0000  8 Pm 3.30

The density of states at the Fermi level comes out at 5.1 states/eV per cell.

***

Most stable of them? arrangement ii.